[1]
Ac3InTe2 | PBE | optimized geometry

Geometry as POSCAR:
```
Ac3InTe2
1.0
-1.842 -3.296 -5.591
-6.130 -5.230 5.103
-10.277 9.745 -2.359
Ac In Te
12 4 8
Cartesian
-10.255 1.592 0.407 Ac
-14.465 0.264 -1.494 Ac
-6.863 -1.646 1.196 Ac
-11.021 -2.951 -0.734 Ac
-7.229 4.171 -2.113 Ac
-10.646 7.484 -2.938 Ac
-11.386 2.866 -4.042 Ac
-3.785 0.956 -1.353 Ac
-7.603 -6.264 0.091 Ac
-13.753 4.836 -0.355 Ac
-4.496 -3.616 -2.491 Ac
-7.994 -0.372 -3.253 Ac
-11.556 5.756 -5.689 In
-6.694 -4.536 2.843 In
-6.985 1.261 -0.479 In
-11.265 -0.041 -2.368 In
-7.759 -3.328 -1.588 Te
-10.122 -1.350 2.097 Te
-10.490 4.548 -1.258 Te
-13.507 1.887 1.304 Te
-3.629 -1.986 0.332 Te
-8.127 2.570 -4.943 Te
-14.621 3.206 -3.179 Te
-4.743 -0.668 -4.151 Te
```

Output
The calculation puts the density of states at the Fermi level at 2.555 states/eV/f.u. The uncorrected formation energy is -1138 meV per atom.

[2]
AcIn2Te | PBE | optimized geometry

Geometry as POSCAR:
```
AcIn2Te
1.0
5.310 0.000 0.000
2.655 4.599 0.000
2.655 1.533 5.343
Te In Ac
1 2 1
Cartesian
0.000 0.000 0.000 Te
7.966 4.599 4.433 In
2.655 1.533 0.911 In
5.310 3.066 2.672 Ac
```

Output
The calculation puts the density of states at the Fermi level at 2.788 states/eV/f.u. The uncorrected formation energy is -275 meV per atom.

[3]
AcInTe | PBE | optimized geometry

Geometry as POSCAR:
```
AcInTe
1.0
-0.175 0.133 -4.057
4.803 -2.265 -0.282
-4.368 -3.032 0.089
In Ac Te
1 1 1
Cartesian
-0.029 0.022 -0.672 In
1.630 -2.431 -2.863 Ac
-1.340 -2.754 -0.715 Te
```

Output
The calculation puts the density of states at the Fermi level at 1.153 states/eV/f.u. The uncorrected formation energy is -664 meV per atom.

[4]
Ac6InTe8 | PBE | optimized geometry

Geometry as POSCAR:
```
Ac6InTe8
1.0
8.186 0.000 4.726
2.729 7.718 4.726
0.000 0.000 9.452
Ac In Te
6 1 8
Cartesian
4.093 0.000 2.363 Ac
0.000 0.000 4.726 Ac
5.457 3.859 4.726 Ac
4.093 0.000 7.089 Ac
1.364 3.859 2.363 Ac
1.364 3.859 7.089 Ac
0.000 0.000 0.000 In
6.803 1.956 11.783 Te
8.186 5.788 14.178 Te
2.766 1.956 9.452 Te
4.111 5.762 7.121 Te
2.729 1.929 4.726 Te
4.111 5.762 11.783 Te
6.803 1.956 7.121 Te
8.149 5.762 9.452 Te
```

Output
The calculation puts the density of states at the Fermi level at 4.925 states/eV/f.u. The uncorrected formation energy is -1383 meV per atom.

[5]
Ac4TlInTe2 | PBE | optimized geometry

Geometry as POSCAR:
```
Ac4TlInTe2
1.0
4.630 0.000 0.000
0.000 7.954 0.117
0.000 -2.819 8.426
Ac In Te Tl
4 1 2 1
Cartesian
2.315 3.849 6.392 Ac
0.000 -0.122 6.334 Ac
0.000 5.257 2.210 Ac
2.315 1.286 2.151 Ac
2.315 3.977 0.059 In
0.000 2.567 4.272 Te
2.315 -1.409 4.213 Te
0.000 0.000 0.000 Tl
```

Output
The calculation puts the density of states at the Fermi level at 4.764 states/eV/f.u. The uncorrected formation energy is -891 meV per atom.

[6]
AcTlInTe3 | PBE | optimized geometry

Geometry as POSCAR:
```
AcTlInTe3
1.0
5.113 0.000 0.000
0.000 9.337 0.103
0.000 -2.368 10.229
Te Tl In Ac
6 2 2 2
Cartesian
3.835 3.802 1.817 Te
1.278 3.167 8.515 Te
1.278 6.151 5.039 Te
3.835 8.190 1.339 Te
3.835 0.818 5.293 Te
1.278 -1.221 8.993 Te
3.835 5.609 8.127 Tl
1.278 1.360 2.205 Tl
3.835 7.379 4.200 In
1.278 -0.411 6.132 In
3.835 0.992 8.784 Ac
1.278 5.977 1.548 Ac
```

Output
The calculation puts the density of states at the Fermi level at 2.560 states/eV/f.u. The uncorrected formation energy is -760 meV per atom.

[7]
Ac3Tl4InTe8 | PBE | optimized geometry

Geometry as POSCAR:
```
Ac3Tl4InTe8
1.0
-4.122 -8.398 1.311
3.324 -0.192 9.219
-5.148 7.397 -2.829
Te Tl Ac In
8 4 3 1
Cartesian
-0.936 1.342 5.652 Te
-2.800 1.586 1.360 Te
-2.292 -6.441 3.545 Te
-0.114 -2.005 2.852 Te
-5.009 -2.535 2.050 Te
-5.831 0.812 4.849 Te
-3.146 -2.779 6.342 Te
-3.654 5.249 4.156 Te
0.000 0.000 0.000 Tl
-4.635 -0.500 -0.759 Tl
-2.574 3.699 -1.415 Tl
-2.061 -4.199 0.655 Tl
-0.399 -4.295 5.265 Ac
-0.912 3.603 3.195 Ac
-2.973 -0.596 3.851 Ac
1.662 -0.096 4.610 In
```

Output
The calculation puts the density of states at the Fermi level at 1.261 states/eV/f.u. The uncorrected formation energy is -895 meV per atom.

[8]
AcTl2InTe4 | PBE | optimized geometry

Geometry as POSCAR:
```
AcTl2InTe4
1.0
-1.184 -8.701 3.532
6.106 -3.342 -6.413
2.445 7.344 5.749
Te Tl Ac In
8 4 2 2
Cartesian
5.367 -1.053 -0.937 Te
2.001 -3.645 3.805 Te
6.782 2.761 1.674 Te
2.381 0.419 1.946 Te
0.585 -7.459 1.194 Te
1.323 -2.754 -0.539 Te
4.987 -5.118 0.923 Te
6.044 -1.945 3.408 Te
4.906 1.323 4.309 Tl
0.039 -5.028 6.407 Tl
0.631 -0.678 4.641 Tl
-0.592 -4.350 1.766 Tl
3.053 -1.671 -3.206 Ac
3.092 -6.700 3.200 Ac
1.261 -1.356 9.282 In
3.684 -2.349 1.434 In
```

Output
The calculation puts the density of states at the Fermi level at 1.567 states/eV/f.u. The uncorrected formation energy is -661 meV per atom.

[9]
Ac2TmIn3Te6 | PBE | optimized geometry

Geometry as POSCAR:
```
Ac2TmIn3Te6
1.0
8.055 0.008 0.003
-4.019 6.981 0.003
-1.343 -2.326 8.095
In Ac Te Tm
3 2 6 1
Cartesian
-2.647 4.638 4.051 In
5.340 0.025 4.051 In
1.347 2.331 4.051 In
4.025 2.335 0.003 Ac
0.011 4.653 0.003 Ac
3.943 2.489 6.281 Te
2.780 4.813 1.870 Te
-1.250 2.174 1.820 Te
0.185 4.660 6.281 Te
2.508 0.003 1.820 Te
-0.087 -0.150 6.231 Te
0.000 0.000 0.000 Tm
```

Output
The uncorrected formation energy is -1006 meV per atom.

[10]
Ac2YIn3Te6 | PBE | optimized geometry

Geometry as POSCAR:
```
Ac2YIn3Te6
1.0
8.076 0.006 0.003
-4.031 6.998 0.003
-1.346 -2.331 8.099
Te Ac In Y
6 2 3 1
Cartesian
2.541 0.003 1.835 Te
-1.267 2.202 1.835 Te
0.158 4.669 6.269 Te
3.966 2.470 6.269 Te
2.772 4.800 1.878 Te
-0.074 -0.128 6.226 Te
0.009 4.664 0.003 Ac
4.036 2.339 0.003 Ac
5.359 0.020 4.052 In
1.349 2.336 4.052 In
-2.661 4.652 4.052 In
0.000 0.000 0.000 Y
```

Output
The uncorrected formation energy is -1023 meV per atom.

[11]
AcThIn2 | PBE | optimized geometry

Geometry as POSCAR:
```
AcThIn2
1.0
-2.088 3.487 -0.817
-1.249 -1.595 -3.617
-5.975 -2.805 3.300
Ac In Th
1 2 1
Cartesian
-4.656 -0.457 -0.567 Ac
-4.623 -2.170 2.553 In
-1.352 -0.635 0.747 In
-1.668 0.946 -2.217 Th
```

Output
The calculation puts the density of states at the Fermi level at 4.921 states/eV/f.u. The energy relative to the elements comes out at -1.14 eV per formula unit.

[12]
AcTh2In | PBE | optimized geometry

Geometry as POSCAR:
```
AcTh2In
1.0
-4.120 -0.302 2.991
-2.681 -1.828 -3.879
1.301 -4.706 1.318
Th Ac In
2 1 1
Cartesian
0.651 -2.353 0.659 Th
-1.341 -0.914 -1.939 Th
-2.750 -3.417 0.215 Ac
-2.060 -0.151 1.495 In
```

Output
The calculation puts the density of states at the Fermi level at 4.424 states/eV/f.u. The energy relative to the elements comes out at -0.34 eV per formula unit.